Density functional theory data (PBE) for an optimized crystal structure of PRu.

Computed properties:
Fermi-level density of states, states/eV/f.u.: 1.39
ΔH_f (0 K), eV per atom: -0.348

Unit cell a=3.590 b=8.744 c=5.649 alpha=90.00 beta=90.00 gamma=90.00
Space group Amm2 (No. 38)
Unique sites:
1 P 0.000 0.000 0.000 [2 per cell]
2 P 0.500 0.160 0.579 [4 per cell]
3 Ru 0.000 0.244 0.807 [4 per cell]
4 Ru 0.500 0.000 0.264 [2 per cell]